VASP calculation (GGA-PBE) on crystalline KIr2Os at its relaxed geometry.

Computed properties:
energy of formation from the pure elements	0.68	eV per atom
distance to the lowest polymorph of the same formula	201	meV/atom
mass density	14.25	g/cm3

a = 2.7586 Å, b = 2.7586 Å, c = 9.3970 Å
α = 90.00°, β = 90.00°, γ = 90.00°
Closest atoms and distances in Å follow each position.
Sites, in units of the cell vectors:
K: 0.0000 0.0000 0.4951  4 K 2.76
Ir: 0.5000 0.5000 0.2012  8 Ir 2.72-2.76
Ir: 0.0000 0.0000 0.9992  4 Os 2.67, 8 Ir 2.72-2.76
Os: 0.5000 0.5000 0.8045  4 Ir 2.67, 4 Os 2.76